# InRh2Se PBE-GGA optimized geometry
data_InRh2Se
_chemical_formula_sum 'In1 Rh2 Se1'
_cell_length_a 3.151
_cell_length_b 4.593
_cell_length_c 4.593
_cell_angle_alpha 90.00
_cell_angle_beta 90.00
_cell_angle_gamma 90.00
_symmetry_space_group_name_H-M 'P 1'
_symmetry_Int_Tables_number 1
loop_
_symmetry_equiv_pos_as_xyz
'x,y,z'
loop_
_atom_site_label
_atom_site_type_symbol
_atom_site_fract_x
_atom_site_fract_y
_atom_site_fract_z
In1 In 0.500 0.000 0.500
Rh1 Rh 0.000 0.000 0.000
Rh2 Rh 0.000 0.500 0.500
Se1 Se 0.500 0.500 0.000
# raw formation energy: -0.112 eV per atom
# ρ: 9.985 g/cm³

***

# Mn3Sb4 PBE-GGA optimized geometry
data_Mn3Sb4
_chemical_formula_sum 'Mn3 Sb4'
_cell_length_a 5.479
_cell_length_b 5.479
_cell_length_c 5.701
_cell_angle_alpha 90.00
_cell_angle_beta 90.00
_cell_angle_gamma 120.00
_symmetry_space_group_name_H-M 'P 1'
_symmetry_Int_Tables_number 1
loop_
_symmetry_equiv_pos_as_xyz
'x,y,z'
loop_
_atom_site_label
_atom_site_type_symbol
_atom_site_fract_x
_atom_site_fract_y
_atom_site_fract_z
Mn1 Mn 0.000 0.500 0.000
Mn2 Mn 0.500 0.500 0.000
Mn3 Mn 0.500 0.000 0.000
Sb1 Sb 0.000 0.000 0.245
Sb2 Sb 0.000 0.000 0.755
Sb3 Sb 0.667 0.333 0.500
Sb4 Sb 0.333 0.667 0.500
# raw formation energy: 0.355 eV per atom
# ρ: 7.303 g/cm³
# energy above the lowest structure with this stoichiometry: 187 meV/atom

***

# RbBCl4 PBE-GGA optimized geometry
data_RbBCl4
_chemical_formula_sum 'Rb2 B2 Cl8'
_cell_length_a 6.623
_cell_length_b 6.060
_cell_length_c 9.482
_cell_angle_alpha 90.00
_cell_angle_beta 90.00
_cell_angle_gamma 90.00
_symmetry_space_group_name_H-M 'P 1'
_symmetry_Int_Tables_number 1
loop_
_symmetry_equiv_pos_as_xyz
'x,y,z'
loop_
_atom_site_label
_atom_site_type_symbol
_atom_site_fract_x
_atom_site_fract_y
_atom_site_fract_z
Rb1 Rb 0.994 0.710 0.000
Rb2 Rb 0.494 0.290 0.500
B1 B 0.476 0.306 0.000
B2 B 0.976 0.694 0.500
Cl1 Cl 0.482 0.615 0.000
Cl2 Cl 0.743 0.206 0.000
Cl3 Cl 0.338 0.207 0.841
Cl4 Cl 0.838 0.793 0.659
Cl5 Cl 0.243 0.794 0.500
Cl6 Cl 0.982 0.385 0.500
Cl7 Cl 0.838 0.793 0.341
Cl8 Cl 0.338 0.207 0.159
# raw formation energy: -1.338 eV per atom
# ρ: 2.078 g/cm³
# energy above the lowest structure with this stoichiometry: 3 meV/atom

***

# MgAl3Rh PBE-GGA optimized geometry
data_MgAl3Rh
_chemical_formula_sum 'Mg2 Al6 Rh2'
_cell_length_a 4.829
_cell_length_b 7.494
_cell_length_c 6.179
_cell_angle_alpha 121.00
_cell_angle_beta 120.64
_cell_angle_gamma 78.04
_symmetry_space_group_name_H-M 'P 1'
_symmetry_Int_Tables_number 1
loop_
_symmetry_equiv_pos_as_xyz
'x,y,z'
loop_
_atom_site_label
_atom_site_type_symbol
_atom_site_fract_x
_atom_site_fract_y
_atom_site_fract_z
Mg1 Mg 0.175 0.791 0.777
Mg2 Mg 0.911 0.136 0.697
Al1 Al 0.251 0.521 0.197
Al2 Al 0.329 0.924 0.427
Al3 Al 0.758 0.003 0.046
Al4 Al 0.754 0.539 0.723
Al5 Al 0.332 0.388 0.750
Al6 Al 0.836 0.406 0.276
Rh1 Rh 0.754 0.729 0.200
Rh2 Rh 0.333 0.198 0.273
# ρ: 4.204 g/cm³
# ΔH_f (0 K): -409 meV/atom
# energy above the lowest structure with this stoichiometry: 47 meV/atom

***

# Ba2AgOsO6 PBE-GGA optimized geometry
data_Ba2AgOsO6
_chemical_formula_sum 'Ba2 Ag1 Os1 O6'
_cell_length_a 6.037
_cell_length_b 6.037
_cell_length_c 6.037
_cell_angle_alpha 60.00
_cell_angle_beta 60.00
_cell_angle_gamma 60.00
_symmetry_space_group_name_H-M 'P 1'
_symmetry_Int_Tables_number 1
loop_
_symmetry_equiv_pos_as_xyz
'x,y,z'
loop_
_atom_site_label
_atom_site_type_symbol
_atom_site_fract_x
_atom_site_fract_y
_atom_site_fract_z
Ba1 Ba 0.750 0.750 0.750
Ba2 Ba 0.250 0.250 0.250
Ag1 Ag 0.500 0.500 0.500
Os1 Os 0.000 0.000 0.000
O1 O 0.223 0.777 0.777
O2 O 0.223 0.777 0.223
O3 O 0.223 0.223 0.777
O4 O 0.777 0.777 0.223
O5 O 0.777 0.223 0.223
O6 O 0.777 0.223 0.777
# raw formation energy: -1.624 eV per atom
# ρ: 7.136 g/cm³

***

# La4SiAs2Cl PBE-GGA optimized geometry
data_La4SiAs2Cl
_chemical_formula_sum 'La4 Si1 As2 Cl1'
_cell_length_a 4.359
_cell_length_b 7.513
_cell_length_c 7.507
_cell_angle_alpha 70.80
_cell_angle_beta 90.00
_cell_angle_gamma 90.00
_symmetry_space_group_name_H-M 'P 1'
_symmetry_Int_Tables_number 1
loop_
_symmetry_equiv_pos_as_xyz
'x,y,z'
loop_
_atom_site_label
_atom_site_type_symbol
_atom_site_fract_x
_atom_site_fract_y
_atom_site_fract_z
La1 La 0.000 0.759 0.737
La2 La 0.000 0.241 0.263
La3 La 0.500 0.751 0.255
La4 La 0.500 0.249 0.745
Si1 Si 0.000 0.500 0.500
As1 As 0.000 0.000 0.000
As2 As 0.500 0.000 0.500
Cl1 Cl 0.500 0.500 0.000
# raw formation energy: -1.431 eV per atom
# ρ: 5.500 g/cm³

***

# CaTbTm2 PBE-GGA optimized geometry
data_CaTbTm2
_chemical_formula_sum 'Ca1 Tb1 Tm2'
_cell_length_a 5.702
_cell_length_b 5.702
_cell_length_c 5.702
_cell_angle_alpha 60.00
_cell_angle_beta 60.00
_cell_angle_gamma 60.00
_symmetry_space_group_name_H-M 'P 1'
_symmetry_Int_Tables_number 1
loop_
_symmetry_equiv_pos_as_xyz
'x,y,z'
loop_
_atom_site_label
_atom_site_type_symbol
_atom_site_fract_x
_atom_site_fract_y
_atom_site_fract_z
Ca1 Ca 0.000 0.000 0.000
Tm1 Tm 0.250 0.250 0.250
Tm2 Tm 0.750 0.750 0.750
Tb1 Tb 0.500 0.500 0.500
# ρ: 6.801 g/cm³
# ΔH_f (0 K): 193 meV/atom
# energy above the lowest structure with this stoichiometry: 120 meV/atom

***

# TaTePb2 PBE-GGA optimized geometry
data_TaTePb2
_chemical_formula_sum 'Ta1 Te1 Pb2'
_cell_length_a 6.278
_cell_length_b 6.278
_cell_length_c 3.573
_cell_angle_alpha 74.91
_cell_angle_beta 74.91
_cell_angle_gamma 120.44
_symmetry_space_group_name_H-M 'P 1'
_symmetry_Int_Tables_number 1
loop_
_symmetry_equiv_pos_as_xyz
'x,y,z'
loop_
_atom_site_label
_atom_site_type_symbol
_atom_site_fract_x
_atom_site_fract_y
_atom_site_fract_z
Pb1 Pb 0.000 0.000 0.000
Pb2 Pb 0.500 0.500 0.000
Ta1 Ta 0.500 0.000 0.500
Te1 Te 0.000 0.500 0.500
# raw formation energy: 0.605 eV per atom
# ρ: 11.610 g/cm³

***

# Hf4BO PBE-GGA optimized geometry
data_Hf4BO
_chemical_formula_sum 'Hf8 B2 O2'
_cell_length_a 5.815
_cell_length_b 5.784
_cell_length_c 5.741
_cell_angle_alpha 90.00
_cell_angle_beta 94.45
_cell_angle_gamma 90.00
_symmetry_space_group_name_H-M 'P 1'
_symmetry_Int_Tables_number 1
loop_
_symmetry_equiv_pos_as_xyz
'x,y,z'
loop_
_atom_site_label
_atom_site_type_symbol
_atom_site_fract_x
_atom_site_fract_y
_atom_site_fract_z
Hf1 Hf 0.876 0.647 0.158
Hf2 Hf 0.624 0.147 0.842
Hf3 Hf 0.333 0.357 0.360
Hf4 Hf 0.167 0.857 0.640
Hf5 Hf 0.124 0.353 0.842
Hf6 Hf 0.376 0.853 0.158
Hf7 Hf 0.667 0.643 0.640
Hf8 Hf 0.833 0.143 0.360
B1 B 0.000 0.000 0.000
B2 B 0.500 0.500 0.000
O1 O 0.500 0.000 0.500
O2 O 0.000 0.500 0.500
# raw formation energy: -0.921 eV per atom
# ρ: 12.779 g/cm³

***

# Zr5Sc3 PBE-GGA optimized geometry
data_Zr5Sc3
_chemical_formula_sum 'Zr5 Sc3'
_cell_length_a 6.432
_cell_length_b 6.432
_cell_length_c 4.517
_cell_angle_alpha 90.00
_cell_angle_beta 90.00
_cell_angle_gamma 90.59
_symmetry_space_group_name_H-M 'P 1'
_symmetry_Int_Tables_number 1
loop_
_symmetry_equiv_pos_as_xyz
'x,y,z'
loop_
_atom_site_label
_atom_site_type_symbol
_atom_site_fract_x
_atom_site_fract_y
_atom_site_fract_z
Sc1 Sc 0.500 0.500 0.000
Sc2 Sc 0.249 0.249 0.500
Sc3 Sc 0.751 0.751 0.500
Zr1 Zr 0.000 0.000 0.000
Zr2 Zr 0.000 0.500 0.000
Zr3 Zr 0.500 0.000 0.000
Zr4 Zr 0.756 0.244 0.500
Zr5 Zr 0.244 0.756 0.500
# ρ: 5.253 g/cm³
# ΔH_f (0 K): 22 meV/atom
# energy above the lowest structure with this stoichiometry: 35 meV/atom

***

# CdPCl2F PBE-GGA optimized geometry
data_CdPCl2F
_chemical_formula_sum 'Cd1 P1 Cl2 F1'
_cell_length_a 5.483
_cell_length_b 5.483
_cell_length_c 3.628
_cell_angle_alpha 90.00
_cell_angle_beta 90.00
_cell_angle_gamma 90.00
_symmetry_space_group_name_H-M 'P 1'
_symmetry_Int_Tables_number 1
loop_
_symmetry_equiv_pos_as_xyz
'x,y,z'
loop_
_atom_site_label
_atom_site_type_symbol
_atom_site_fract_x
_atom_site_fract_y
_atom_site_fract_z
P1 P 0.000 0.000 0.500
F1 F 0.000 0.000 0.000
Cl1 Cl 0.000 0.500 0.000
Cl2 Cl 0.500 0.000 0.000
Cd1 Cd 0.500 0.500 0.500
# raw formation energy: -0.096 eV per atom
# ρ: 3.552 g/cm³
# energy above the lowest structure with this stoichiometry: 0 meV/atom

***

# ScRu2Rh PBE-GGA optimized geometry
data_ScRu2Rh
_chemical_formula_sum 'Sc1 Ru2 Rh1'
_cell_length_a 2.852
_cell_length_b 3.791
_cell_length_c 5.703
_cell_angle_alpha 90.00
_cell_angle_beta 90.00
_cell_angle_gamma 90.00
_symmetry_space_group_name_H-M 'P 1'
_symmetry_Int_Tables_number 1
loop_
_symmetry_equiv_pos_as_xyz
'x,y,z'
loop_
_atom_site_label
_atom_site_type_symbol
_atom_site_fract_x
_atom_site_fract_y
_atom_site_fract_z
Rh1 Rh 0.500 0.500 0.747
Ru1 Ru 0.000 0.000 0.022
Ru2 Ru 0.500 0.500 0.219
Sc1 Sc 0.000 0.000 0.511
# ρ: 9.426 g/cm³
# ΔH_f (0 K): -206 meV/atom